Entry A
{
  "formula": "Zr2PbO",
  "functional": "PBE",
  "state": "relaxed",
  "lattice": [[-5.690, -0.779, -3.709], [-3.568, -1.154, 5.716], [-5.286, 2.476, 1.288]],
  "species": ["Zr", "Pb", "Zr", "O", "Zr", "Pb", "Zr", "O"],
  "frac_coords": [[0.507, 0.125, 0.250], [0.000, 0.000, 0.000], [0.243, 0.625, 0.250], [0.250, 0.750, 0.500], [0.375, 0.493, 0.750], [0.750, 0.250, 0.500], [0.875, 0.757, 0.750], [0.500, 0.500, 0.000]],
  "n_ef_per_ev_cell": 1.26,
  "volume_a3_per_cell": 164.3,
  "sg": "I-42d"
}


Entry B
{
  "formula": "Zr2PbO",
  "functional": "PBE",
  "state": "relaxed",
  "lattice": [[0.000, 3.382, 3.382], [3.382, 0.000, 3.382], [3.382, 3.382, 0.000]],
  "species": ["Zr", "O", "Zr", "Pb"],
  "frac_coords": [[0.750, 0.750, 0.750], [0.000, 0.000, 0.000], [0.250, 0.250, 0.250], [0.500, 0.500, 0.500]],
  "n_ef_per_ev_cell": 3.96,
  "volume_a3_per_cell": 77.3,
  "sg": "Fm-3m"
}


Entry C
{
  "formula": "Zr2PbO",
  "functional": "PBE",
  "state": "relaxed",
  "lattice": [[3.264, 0.001, 0.001], [1.633, 2.826, 0.001], [1.635, 0.944, 7.871]],
  "species": ["Zr", "O", "Pb", "Zr"],
  "frac_coords": [[0.274, 0.274, 0.181], [0.667, 0.667, 0.001], [0.500, 0.500, 0.500], [0.060, 0.060, 0.818]],
  "n_ef_per_ev_cell": 1.52,
  "volume_a3_per_cell": 72.6,
  "sg": "R3m"
}


Entry D
{
  "formula": "Zr2PbO",
  "functional": "PBE",
  "state": "relaxed",
  "lattice": [[3.522, 0.000, 0.000], [1.761, 3.050, 0.000], [1.761, 1.017, 7.020]],
  "species": ["Pb", "O", "Zr", "Zr"],
  "frac_coords": [[0.500, 0.500, 0.500], [0.000, 0.000, 0.000], [0.281, 0.281, 0.156], [0.719, 0.719, 0.844]],
  "n_ef_per_ev_cell": 3.16,
  "volume_a3_per_cell": 75.4,
  "sg": "R-3m"
}


Which of the structures shown above is the most stable? The most stable is entry A.